Model A:
The following is a DFT calculation (PBE) of crystalline RbB2S4 at its relaxed geometry.

```
RbB2S4
1.0
8.7444 -3.9999 -0.4765
-5.0299 7.6334 0.4565
-2.0916 -1.6109 9.8806
Rb B S
2 4 8
Direct
0.3088 0.7977 0.5119 Rb
0.0286 0.1014 0.0298 Rb
0.6049 0.3209 0.7757 B
0.6723 0.9533 0.2695 B
0.5969 0.3669 0.2157 B
0.1007 0.3124 0.7254 B
0.9946 0.2042 0.3590 S
0.3516 0.7031 0.1822 S
0.7974 0.5110 0.6694 S
0.8155 0.9838 0.6297 S
0.3882 0.1914 0.3141 S
0.4092 0.1261 0.8851 S
0.3818 0.6377 0.8232 S
0.7995 0.5402 0.1091 S
```

Output
The total magnetization is 0.000 μB per formula unit. As for the space group: No. 1.

Model B:
The following is a DFT calculation (PBE) of crystalline RbB2S4 at its relaxed geometry.

```
RbB2S4
1.0
6.5255 0.0000 0.0000
0.0000 6.5255 0.0000
3.2627 3.2627 6.1669
S B Rb
4 2 1
Direct
0.6980 0.6980 0.6040 S
0.3020 0.3020 0.3960 S
0.0000 0.5000 0.0000 S
0.5000 0.0000 0.0000 S
0.5657 0.5657 0.8685 B
0.4343 0.4343 0.1315 B
0.0000 0.0000 0.0000 Rb
```

Output
The total magnetization is 3.000 μB per formula unit. As for the space group: No. 139.

We find model A to be the most stable, with the next structure 799 meV per atom higher.

Model A:
The following is a DFT calculation (PBE) of crystalline RbScB3 at its relaxed geometry.

```
RbScB3
1.0
4.7881 0.0000 0.0000
0.0000 4.7881 0.0000
0.0000 0.0000 4.7881
Sc B Rb
1 3 1
Direct
0.0000 0.0000 0.0000 Sc
0.0000 0.5000 0.0000 B
0.0000 0.0000 0.5000 B
0.5000 0.0000 0.0000 B
0.5000 0.5000 0.5000 Rb
```

Output
The total magnetization is 2.021 μB per formula unit. As for the space group: No. 221.

Model B:
The following is a DFT calculation (PBE) of crystalline RbScB3 at its relaxed geometry.

```
RbScB3
1.0
-3.5370 1.0771 -2.6190
-2.8043 -0.7491 3.4792
0.3941 4.3369 1.2514
Sc B Rb
1 3 1
Direct
0.5000 0.5000 0.5000 Sc
0.0000 0.5000 0.0000 B
0.0000 0.0000 0.5000 B
0.5000 0.0000 0.0000 B
0.0000 0.0000 0.0000 Rb
```

Output
The total magnetization is 0.432 μB per formula unit. As for the space group: No. 221.

We find model A to be the most stable, with the next structure 1156 meV per atom higher.

Model A:
The following is a DFT calculation (PBE) of crystalline Rb3BSe3 at its relaxed geometry.

```
Rb3BSe3
1.0
-4.1731 2.8360 -4.6140
-0.2791 -8.4479 -4.9401
-6.5861 1.7462 7.0301
Rb B Se
6 2 6
Direct
0.2500 0.6183 0.8087 Rb
0.2500 0.1903 0.3817 Rb
0.2500 0.1906 0.8104 Rb
0.7500 0.3817 0.1913 Rb
0.7500 0.8097 0.6183 Rb
0.7500 0.8094 0.1896 Rb
0.7500 0.3329 0.6670 B
0.2500 0.6671 0.3330 B
0.7500 0.5668 0.7832 Se
0.7500 0.2158 0.4332 Se
0.7500 0.2162 0.7848 Se
0.2500 0.4332 0.2168 Se
0.2500 0.7842 0.5668 Se
0.2500 0.7838 0.2152 Se
```

Output
The total magnetization is 0.000 μB per formula unit. As for the space group: No. 63.

Model B:
The following is a DFT calculation (PBE) of crystalline Rb3BSe3 at its relaxed geometry.

```
Rb3BSe3
1.0
5.0582 -0.8977 0.0000
-2.4693 15.8579 0.0000
0.0000 0.0000 14.0996
Rb B Se
12 4 12
Direct
0.9907 0.7364 0.8285 Rb
0.0093 0.7636 0.3285 Rb
0.0093 0.2636 0.1715 Rb
0.9907 0.2364 0.6715 Rb
0.8295 0.0776 0.9308 Rb
0.1705 0.4224 0.4308 Rb
0.1705 0.9224 0.0692 Rb
0.8295 0.5776 0.5692 Rb
0.6803 0.9302 0.6357 Rb
0.3197 0.5698 0.1357 Rb
0.3197 0.0698 0.3643 Rb
0.6803 0.4302 0.8643 Rb
0.6646 0.9168 0.2451 B
0.3354 0.5832 0.7451 B
0.3354 0.0832 0.7549 B
0.6646 0.4168 0.2549 B
0.2155 0.9650 0.8176 Se
0.7845 0.5350 0.3176 Se
0.7845 0.0350 0.1824 Se
0.2155 0.4650 0.6824 Se
0.6575 0.9097 0.3847 Se
0.3425 0.5903 0.8847 Se
0.3425 0.0903 0.6153 Se
0.6575 0.4097 0.1153 Se
0.5545 0.8081 0.1659 Se
0.4455 0.6919 0.6659 Se
0.4455 0.1919 0.8341 Se
0.5545 0.3081 0.3341 Se
```

Output
The total magnetization is 0.000 μB per formula unit. As for the space group: No. 14.

We find model B to be the most stable, with the next structure 98 meV per atom higher.

Model A:
The following is a DFT calculation (PBE) of crystalline RbB2Se2 at its relaxed geometry.

```
RbB2Se2
1.0
-3.7876 2.5529 1.0943
-2.0810 -3.8339 1.7412
-1.3619 0.1453 5.0272
B Se Rb
2 2 1
Direct
0.3841 0.3841 0.2318 B
0.6159 0.6159 0.7682 B
0.7500 0.2500 0.5000 Se
0.2500 0.7500 0.5000 Se
0.0000 0.0000 0.0000 Rb
```

Output
The total magnetization is 0.000 μB per formula unit. As for the space group: No. 139.

Model B:
The following is a DFT calculation (PBE) of crystalline RbB2Se2 at its relaxed geometry.

```
RbB2Se2
1.0
-5.5537 2.5875 -4.5964
-5.2480 -3.3805 4.4381
-0.2740 3.2959 2.1865
B Se Rb
4 4 2
Direct
0.4253 0.9253 0.0000 B
0.9253 0.5747 0.0000 B
0.5747 0.0747 0.0000 B
0.0747 0.4253 0.0000 B
0.1145 0.6145 0.5000 Se
0.6145 0.8855 0.5000 Se
0.8855 0.3855 0.5000 Se
0.3855 0.1145 0.5000 Se
0.0000 0.0000 0.0000 Rb
0.5000 0.5000 0.0000 Rb
```

Output
The total magnetization is 0.000 μB per formula unit. As for the space group: No. 127.

We find model A to be the most stable, with the next structure 183 meV per atom higher.